Entry a
## NdGaSn2 (PBE)

Data for NdGaSn2 after structural relaxation.

Results
space-group type: I4/mmm
Fermi-level density of states: 1.071 states/eV/f.u.

Unit cell a=5.922 b=5.922 c=5.922 alpha=135.54 beta=135.54 gamma=64.69
Element x y z (fractional)
Nd1 0.000 0.000 0.000
Ga1 0.500 0.500 0.000
Sn1 0.250 0.750 0.500
Sn2 0.750 0.250 0.500

=====

Entry b
## NdGaSn2 (PBE)

Data for NdGaSn2 after structural relaxation.

Results
space-group type: R-3m
Fermi-level density of states: 3.262 states/eV/f.u.

Unit cell a=7.962 b=7.962 c=7.962 alpha=38.29 beta=38.29 gamma=38.29
Element x y z (fractional)
Nd1 0.000 0.000 0.000
Ga1 0.500 0.500 0.500
Sn1 0.381 0.381 0.381
Sn2 0.619 0.619 0.619

=====

Most stable: entry a (next structure +774 meV per atom)

=====

Entry a
## NdGa2Sn (PBE)

Data for NdGa2Sn after structural relaxation.

Results
space-group type: R-3m
Fermi-level density of states: 3.277 states/eV/f.u.

Unit cell a=5.778 b=5.778 c=5.778 alpha=47.84 beta=47.84 gamma=47.84
Element x y z (fractional)
Nd1 0.000 0.000 0.000
Ga1 0.226 0.226 0.226
Ga2 0.774 0.774 0.774
Sn1 0.500 0.500 0.500

=====

Entry b
## NdGa2Sn (PBE)

Data for NdGa2Sn after structural relaxation.

Results
space-group type: P4/mmm
Fermi-level density of states: 1.805 states/eV/f.u.

Unit cell a=4.569 b=4.569 c=4.401 alpha=90.00 beta=90.00 gamma=90.00
Element x y z (fractional)
Nd1 0.000 0.000 0.000
Ga1 0.000 0.500 0.500
Ga2 0.500 0.000 0.500
Sn1 0.500 0.500 0.000

=====

Most stable: entry b (next structure +189 meV per atom)

=====

Entry a
## Nd5GaSn2 (PBE)

Data for Nd5GaSn2 after structural relaxation.

Results
space-group type: I4/mmm
Fermi-level density of states: 8.806 states/eV/f.u.

Unit cell a=6.823 b=6.823 c=6.823 alpha=117.97 beta=117.97 gamma=93.56
Element x y z (fractional)
Nd1 0.000 0.000 0.000
Nd2 0.000 0.000 0.500
Nd3 0.000 0.500 0.000
Nd4 0.500 0.000 0.000
Nd5 0.500 0.500 0.500
Ga1 0.500 0.500 0.000
Sn1 0.000 0.500 0.500
Sn2 0.500 0.000 0.500

=====

Entry b
## Nd5GaSn2 (PBE)

Data for Nd5GaSn2 after structural relaxation.

Results
space-group type: Pbam
Fermi-level density of states: 8.876 states/eV/f.u.

Unit cell a=8.173 b=12.622 c=4.819 alpha=90.00 beta=90.00 gamma=90.00
Element x y z (fractional)
Nd1 0.000 0.000 0.000
Nd2 0.155 0.283 0.000
Nd3 0.193 0.568 0.500
Nd4 0.307 0.068 0.500
Nd5 0.345 0.783 0.000
Nd6 0.500 0.500 0.000
Nd7 0.655 0.217 0.000
Nd8 0.693 0.932 0.500
Nd9 0.807 0.432 0.500
Nd10 0.845 0.717 0.000
Ga1 0.000 0.500 0.000
Ga2 0.500 0.000 0.000
Sn1 0.076 0.829 0.500
Sn2 0.424 0.329 0.500
Sn3 0.576 0.671 0.500
Sn4 0.924 0.171 0.500

=====

Most stable: entry b (next structure +129 meV per atom)

=====

Entry a
## Nd2GaSn4 (PBE)

Data for Nd2GaSn4 after structural relaxation.

Results
space-group type: P-4m2
Fermi-level density of states: 4.107 states/eV/f.u.

Unit cell a=4.518 b=4.518 c=9.480 alpha=90.00 beta=90.00 gamma=90.00
Element x y z (fractional)
Nd1 0.000 0.500 0.232
Nd2 0.500 0.000 0.768
Ga1 0.500 0.500 0.000
Sn1 0.000 0.000 0.500
Sn2 0.000 0.500 0.822
Sn3 0.500 0.000 0.178
Sn4 0.500 0.500 0.500

=====

Entry b
## Nd2GaSn4 (PBE)

Data for Nd2GaSn4 after structural relaxation.

Results
space-group type: C2/m
Fermi-level density of states: 3.774 states/eV/f.u.

Unit cell a=6.366 b=6.366 c=6.632 alpha=118.72 beta=118.72 gamma=89.80
Element x y z (fractional)
Nd1 0.000 0.500 0.000
Nd2 0.500 0.000 0.000
Ga1 0.000 0.000 0.000
Sn1 0.000 0.000 0.500
Sn2 0.000 0.500 0.500
Sn3 0.500 0.000 0.500
Sn4 0.500 0.500 0.500

=====

Most stable: entry b (next structure +16 meV per atom)

=====

Entry a
## TbNdGaSn (PBE)

Data for TbNdGaSn after structural relaxation.

Results
space-group type: F-43m
Fermi-level density of states: 2.663 states/eV/f.u.

Unit cell a=5.310 b=5.310 c=5.310 alpha=60.00 beta=60.00 gamma=60.00
Element x y z (fractional)
Tb1 0.000 0.000 0.000
Nd1 0.500 0.500 0.500
Ga1 0.750 0.750 0.750
Sn1 0.250 0.250 0.250

=====

Entry b
## TbNdGaSn (PBE)

Data for TbNdGaSn after structural relaxation.

Results
space-group type: Amm2
Fermi-level density of states: 3.789 states/eV/f.u.

Unit cell a=4.221 b=6.133 c=6.133 alpha=43.57 beta=90.00 gamma=90.00
Element x y z (fractional)
Tb1 0.000 0.000 0.000
Nd1 0.500 0.721 0.721
Ga1 0.000 0.274 0.274
Sn1 0.500 0.437 0.437

=====

Most stable: entry b (next structure +152 meV per atom)

=====

Entry a
## SrNdGa4 (PBE)

Data for SrNdGa4 after structural relaxation.

Results
space-group type: F-43m
Fermi-level density of states: 2.348 states/eV/f.u.

Unit cell a=5.710 b=5.710 c=5.710 alpha=60.00 beta=60.00 gamma=60.00
Element x y z (fractional)
Sr1 0.000 0.000 0.000
Nd1 0.750 0.750 0.750
Ga1 0.376 0.376 0.376
Ga2 0.376 0.376 0.873
Ga3 0.376 0.873 0.376
Ga4 0.873 0.376 0.376

=====

Entry b
## SrNdGa4 (PBE)

Data for SrNdGa4 after structural relaxation.

Results
space-group type: I-4m2
Fermi-level density of states: 4.263 states/eV/f.u.

Unit cell a=8.229 b=8.229 c=8.229 alpha=149.35 beta=149.35 gamma=43.89
Element x y z (fractional)
Sr1 0.000 0.000 0.000
Nd1 0.250 0.750 0.500
Ga1 0.415 0.415 0.000
Ga2 0.585 0.585 0.000
Ga3 0.669 0.169 0.500
Ga4 0.831 0.331 0.500

=====

Most stable: entry b (next structure +87 meV per atom)